Record 1
A plane-wave DFT calculation with PBE was carried out for a geometry-optimized CeZr2Ag structure.

Calculated values
Formation energy from the elements in meV per atom: 119.9
ΔE to the lowest computed polymorph in kJ per mole of atoms: 8.2

Cell lengths 4.384, 4.576, 4.576 Å; angles 90.00, 90.00, 90.00 degrees
Sites, in units of the cell vectors:
Ce 0.500 0.000 0.000
Ag 0.500 0.500 0.500
Zr 0.000 0.500 0.000
Zr 0.000 0.000 0.500


Record 2
A plane-wave DFT calculation with PBE was carried out for a geometry-optimized Ce2ZrAg structure.

Calculated values
Formation energy from the elements in meV per atom: 184.9
ΔE to the lowest computed polymorph in kJ per mole of atoms: 16.0

Cell lengths 3.053, 3.053, 11.770 Å; angles 82.55, 82.55, 60.00 degrees
Sites, in units of the cell vectors:
Ce 0.913 0.913 0.261
Ce 0.087 0.087 0.739
Zr 0.000 0.000 0.000
Ag 0.500 0.500 0.500


Record 3
A plane-wave DFT calculation with PBE was carried out for a geometry-optimized CeZrAg structure.

Calculated values
Formation energy from the elements in meV per atom: 167.9
ΔE to the lowest computed polymorph in kJ per mole of atoms: 18.5

Cell lengths 3.158, 5.066, 5.066 Å; angles 120.00, 90.00, 90.00 degrees
Sites, in units of the cell vectors:
Zr 0.101 0.000 0.000
Ce 0.656 0.667 0.333
Ag 0.243 0.333 0.667


Record 4
A plane-wave DFT calculation with PBE was carried out for a geometry-optimized Ce2ZrAg structure.

Calculated values
Formation energy from the elements in meV per atom: 19.1
ΔE to the lowest computed polymorph in kJ per mole of atoms: 0.0

Cell lengths 3.146, 3.146, 9.856 Å; angles 90.00, 90.00, 90.00 degrees
Sites, in units of the cell vectors:
Ag 0.500 0.500 0.000
Ce 0.000 0.000 0.757
Ce 0.000 0.000 0.243
Zr 0.500 0.500 0.500


Record 5
A plane-wave DFT calculation with PBE was carried out for a geometry-optimized Ce2ZrAg structure.

Calculated values
Formation energy from the elements in meV per atom: 83.8
ΔE to the lowest computed polymorph in kJ per mole of atoms: 6.2

Cell lengths 3.272, 5.569, 5.569 Å; angles 90.00, 90.00, 90.00 degrees
Sites, in units of the cell vectors:
Ce 0.000 0.000 0.500
Ce 0.000 0.500 0.000
Zr 0.500 0.500 0.500
Ag 0.500 0.000 0.000


Record 6
A plane-wave DFT calculation with PBE was carried out for a geometry-optimized CeZr2Ag structure.

Calculated values
Formation energy from the elements in meV per atom: 34.8
ΔE to the lowest computed polymorph in kJ per mole of atoms: 0.0

Cell lengths 3.189, 3.189, 9.006 Å; angles 90.00, 90.00, 90.00 degrees
Sites, in units of the cell vectors:
Zr 0.000 0.000 0.225
Zr 0.000 0.000 0.775
Ce 0.500 0.500 0.500
Ag 0.500 0.500 0.000


Record 7
A plane-wave DFT calculation with PBE was carried out for a geometry-optimized CeZrAg structure.

Calculated values
Formation energy from the elements in meV per atom: -23.4
ΔE to the lowest computed polymorph in kJ per mole of atoms: 0.0

Cell lengths 3.134, 3.134, 7.356 Å; angles 102.30, 102.30, 90.00 degrees
Sites, in units of the cell vectors:
Zr 0.324 0.324 0.648
Ce 0.000 0.000 0.001
Ag 0.675 0.675 0.351


Record 8
A plane-wave DFT calculation with PBE was carried out for a geometry-optimized Ag8Cl structure.

Calculated values
Uncorrected formation energy in eV/atom: 0.0273

Cell lengths 6.691, 6.691, 6.691 Å; angles 95.44, 95.44, 144.15 degrees
Sites, in units of the cell vectors:
Ag 0.328 0.672 0.000
Ag 0.000 0.662 0.662
Ag 0.672 0.672 0.345
Ag 0.672 0.328 0.000
Ag 0.662 0.000 0.662
Ag 0.328 0.328 0.655
Ag 0.338 0.000 0.338
Ag 0.000 0.338 0.338
Cl 0.000 0.000 0.000


Calculated values (eV/atom) of raw total energy for the records, taken in order: -6.350, -5.632, -5.610, -5.798, -5.733, -6.436, -5.801, -2.712.